No. 1
Below is a geometry-optimized In2TcPb structure, with properties calculated at the GGA-PBE level.

Symmetry: No. 47
Energy relative to the elements in eV per atom: 0.59

a b c (Å): 3.510 4.921 5.068
angles (deg): 90.00 90.00 90.00
Fractional positions:
In (0.000, 0.000, 0.000)
In (0.500, 0.500, 0.000)
Tc (0.000, 0.500, 0.500)
Pb (0.500, 0.000, 0.500)

=====

No. 2
Below is a geometry-optimized In2TcPb structure, with properties calculated at the GGA-PBE level.

Symmetry: No. 216
Energy relative to the elements in eV per atom: 0.67

a b c (Å): 5.020 5.020 5.020
angles (deg): 60.00 60.00 60.00
Fractional positions:
In (0.000, 0.000, 0.000)
In (0.250, 0.250, 0.250)
Tc (0.750, 0.750, 0.750)
Pb (0.500, 0.500, 0.500)

=====

No. 3
Below is a geometry-optimized InTc2Pb structure, with properties calculated at the GGA-PBE level.

Symmetry: No. 166
Energy relative to the lowest polymorph listed for this composition in meV per atom: 448
Energy relative to the elements in eV per atom: 0.65

a b c (Å): 8.966 8.966 8.966
angles (deg): 20.16 20.16 20.16
Fractional positions:
In (0.000, 0.000, 0.000)
Tc (0.250, 0.250, 0.250)
Tc (0.750, 0.750, 0.750)
Pb (0.500, 0.500, 0.500)

=====

No. 4
Below is a geometry-optimized InTc2Pb structure, with properties calculated at the GGA-PBE level.

Symmetry: No. 65
Energy relative to the lowest polymorph listed for this composition in meV per atom: 527
Energy relative to the elements in eV per atom: 0.73

a b c (Å): 3.072 3.072 8.946
angles (deg): 90.00 90.00 115.60
Fractional positions:
In (0.000, 0.000, 0.000)
Tc (0.500, 0.500, 0.249)
Tc (0.500, 0.500, 0.751)
Pb (0.000, 0.000, 0.500)

=====

No. 5
Below is a geometry-optimized InTcPb3 structure, with properties calculated at the GGA-PBE level.

Symmetry: No. 221
Energy relative to the lowest polymorph listed for this composition in meV per atom: 0
Energy relative to the elements in eV per atom: 0.39

a b c (Å): 5.360 5.360 5.360
angles (deg): 90.00 90.00 90.00
Fractional positions:
In (0.000, 0.000, 0.000)
Tc (0.500, 0.500, 0.500)
Pb (0.000, 0.500, 0.500)
Pb (0.500, 0.000, 0.500)
Pb (0.500, 0.500, 0.000)

=====

No. 6
Below is a geometry-optimized InTcPb structure, with properties calculated at the GGA-PBE level.

Symmetry: No. 107
Energy relative to the lowest polymorph listed for this composition in meV per atom: 0
Energy relative to the elements in eV per atom: 0.42

a b c (Å): 5.438 5.438 5.438
angles (deg): 141.72 141.72 55.26
Fractional positions:
In (0.000, 0.000, 0.000)
Tc (0.649, 0.649, 0.000)
Pb (0.308, 0.308, 0.000)

=====

No. 7
Below is a geometry-optimized In2TcPb structure, with properties calculated at the GGA-PBE level.

Symmetry: No. 99
Energy relative to the elements in eV per atom: 0.34

a b c (Å): 3.251 3.251 8.955
angles (deg): 90.00 90.00 90.00
Fractional positions:
In (0.000, 0.000, 0.000)
In (0.500, 0.500, 0.288)
Tc (0.500, 0.500, 0.817)
Pb (0.000, 0.000, 0.613)

=====

No. 8
Below is a geometry-optimized InTc2Pb structure, with properties calculated at the GGA-PBE level.

Symmetry: No. 123
Energy relative to the lowest polymorph listed for this composition in meV per atom: 398
Energy relative to the elements in eV per atom: 0.60

a b c (Å): 3.325 3.325 6.636
angles (deg): 90.00 90.00 90.00
Fractional positions:
In (0.000, 0.000, 0.000)
Tc (0.500, 0.500, 0.244)
Tc (0.500, 0.500, 0.756)
Pb (0.000, 0.000, 0.500)

=====

No. 9
Below is a geometry-optimized In2TcPb structure, with properties calculated at the GGA-PBE level.

Symmetry: No. 122
Energy relative to the elements in eV per atom: 0.62

a b c (Å): 10.967 10.967 10.967
angles (deg): 157.56 157.56 31.95
Fractional positions:
In (0.103, 0.625, 0.978)
In (0.375, 0.353, 0.478)
In (0.647, 0.125, 0.022)
In (0.875, 0.897, 0.522)
Tc (0.000, 0.000, 0.000)
Tc (0.750, 0.250, 0.500)
Pb (0.250, 0.750, 0.500)
Pb (0.500, 0.500, 0.000)

=====

No. 10
Below is a geometry-optimized InTc2Pb structure, with properties calculated at the GGA-PBE level.

Symmetry: No. 38
Energy relative to the lowest polymorph listed for this composition in meV per atom: 229
Energy relative to the elements in eV per atom: 0.43

a b c (Å): 4.366 5.563 5.563
angles (deg): 35.54 90.00 90.00
Fractional positions:
In (0.000, 0.000, 0.000)
Tc (0.000, 0.282, 0.282)
Tc (0.500, 0.394, 0.394)
Pb (0.500, 0.669, 0.669)

=====

No. 11
Below is a geometry-optimized In2TcPb structure, with properties calculated at the GGA-PBE level.

Symmetry: No. 166
Energy relative to the elements in eV per atom: 0.35

a b c (Å): 10.582 10.582 10.582
angles (deg): 17.44 17.44 17.44
Fractional positions:
In (0.235, 0.235, 0.235)
In (0.765, 0.765, 0.765)
Tc (0.500, 0.500, 0.500)
Pb (0.000, 0.000, 0.000)

=====

No. 12
Below is a geometry-optimized In2TcPb structure, with properties calculated at the GGA-PBE level.

Symmetry: No. 139
Energy relative to the elements in eV per atom: 0.55

a b c (Å): 5.497 5.497 5.497
angles (deg): 133.46 133.46 67.93
Fractional positions:
In (0.250, 0.750, 0.500)
In (0.750, 0.250, 0.500)
Tc (0.000, 0.000, 0.000)
Pb (0.500, 0.500, 0.000)

=====

> The lowest energy relative to the elements belongs to which entry?

number 7

=====

Repeat the fifth record exactly.
Below is a geometry-optimized InTcPb3 structure, with properties calculated at the GGA-PBE level.

Symmetry: No. 221
Energy relative to the lowest polymorph listed for this composition in meV per atom: 0
Energy relative to the elements in eV per atom: 0.39

a b c (Å): 5.360 5.360 5.360
angles (deg): 90.00 90.00 90.00
Fractional positions:
In (0.000, 0.000, 0.000)
Tc (0.500, 0.500, 0.500)
Pb (0.000, 0.500, 0.500)
Pb (0.500, 0.000, 0.500)
Pb (0.500, 0.500, 0.000)

=====

> The highest energy relative to the elements belongs to which entry?

number 4